1.
Here is crystalline UGaCuNi at its relaxed geometry from the Alexandria database. Energies are from GGA-PBE.

a b c (Å): 6.3727 6.3727 6.3727
angles (deg): 90.00 90.00 90.00
With the nearest neighbours (Å) after each atom.
Space group F-43m (No. 216)
Asymmetric unit:
U (0.0000, 0.0000, 0.0000) x4  4 Ni 2.76, 4 Cu 2.76
Ga (0.0000, 0.0000, 0.5000) x4  4 Cu 2.76, 4 Ni 2.76
Cu (0.2500, 0.2500, 0.7500) x4  4 U 2.76, 4 Ga 2.76
Ni (0.2500, 0.2500, 0.2500) x4  4 U 2.76, 4 Ga 2.76

The calculation puts the total DFT energy (no corrections) at -0.225 Ha/atom. For the formation energy from the elements, the calculation gives -0.072 eV per atom.

---

2.
Here is crystalline Y2GaCu12Ni3 at its relaxed geometry from the Alexandria database. Energies are from GGA-PBE.

a b c (Å): 8.4615 8.4615 12.2968
angles (deg): 90.00 90.00 120.00
With the nearest neighbours (Å) after each atom.
Space group R-3m (No. 166, hexagonal axes)
Asymmetric unit:
Y (0.0000, 0.0000, 0.2452) x6  3 Ni 2.67, 6 Cu 2.83-2.95
Ga (0.0000, 0.0000, 0.5000) x3  6 Cu 2.38
Cu (0.0159, 0.5079, 0.2076) x18  1 Ga 2.38, 5 Cu 2.41-2.53, 1 Ni 2.56
Cu (0.0506, 0.5253, 0.6003) x18  6 Cu 2.41-2.64
Ni (0.0000, 0.5000, 0.0000) x9  10 Cu 2.56-2.84, 2 Y 2.67

The calculation puts the total DFT energy (no corrections) at -0.168 Ha/atom. For the formation energy from the elements, the calculation gives 0.001 eV per atom.

---

3.
Here is crystalline YGa2CuNi at its relaxed geometry from the Alexandria database. Energies are from GGA-PBE.

a b c (Å): 4.1343 4.1343 9.9458
angles (deg): 90.00 90.00 90.00
With the nearest neighbours (Å) after each atom.
Space group I-4m2 (No. 119)
Asymmetric unit:
Y (0.0000, 0.0000, 0.0000) x2  8 Ga 3.18, 4 Ni 3.23, 4 Cu 3.23
Ga (0.0000, 0.0000, 0.3729) x4  2 Ni 2.40, 2 Cu 2.40, 1 Ga 2.53
Cu (0.0000, 0.5000, 0.7500) x2  4 Ga 2.40
Ni (0.0000, 0.5000, 0.2500) x2  4 Ga 2.40

The calculation puts the total DFT energy (no corrections) at -0.182 Ha/atom. For the formation energy from the elements, the calculation gives -0.481 eV per atom.

---

Q: The highest total DFT energy (no corrections) belongs to which entry?
A: Y2GaCu12Ni3